# ScAgBr

A geometry-optimized ScAgBr structure (GGA-PBE, Alexandria via LeMat-Bulk).

```
3
Lattice="7.1053 -0.0658 0.0692 6.3581 3.1710 0.0729 0.7471 0.1665 3.2325" Properties=species:S:1:pos:R:3 pbc="T T T"
Br 9.7255 2.2414 1.0505
Sc 4.9232 1.1316 2.2176
Ag 13.0252 3.0040 0.2486
```

The value obtained for the uncorrected formation energy is -0.532 eV/atom.

=====

# ScAgBr

A geometry-optimized ScAgBr structure (GGA-PBE, Alexandria via LeMat-Bulk).

```
3
Lattice="4.7553 0.0000 0.0000 2.3777 4.1182 0.0000 2.3777 1.3727 3.8827" Properties=species:S:1:pos:R:3 pbc="T T T"
Ag 0.0000 0.0000 0.0000
Sc 7.1330 4.1182 2.9120
Br 4.7553 2.7455 1.9413
```

The value obtained for the uncorrected formation energy is -0.219 eV/atom.

=====

# Sc2AgBr

A geometry-optimized Sc2AgBr structure (GGA-PBE, Alexandria via LeMat-Bulk).

```
4
Lattice="5.0991 0.0000 0.0000 2.5496 4.4160 0.0000 2.5496 1.4720 4.1634" Properties=species:S:1:pos:R:3 pbc="T T T"
Ag 5.0991 2.9440 2.0817
Sc 2.5496 1.4720 1.0409
Br 7.6487 4.4160 3.1226
Sc 0.0000 0.0000 0.0000
```

The value obtained for the uncorrected formation energy is 0.261 eV/atom.

=====

# ScAgBr2

A geometry-optimized ScAgBr2 structure (GGA-PBE, Alexandria via LeMat-Bulk).

```
4
Lattice="-2.6157 1.0681 -4.3744 2.0792 -3.5464 -3.1966 -2.1024 -0.9472 4.6692" Properties=species:S:1:pos:R:3 pbc="T T T"
Ag -2.4932 -0.5591 -1.7454
Br -0.2682 -1.2391 -3.7855
Sc -0.1457 -2.8664 -1.1565
Br 0.0000 0.0000 0.0000
```

The value obtained for the uncorrected formation energy is -0.445 eV/atom.